Entry 1:
Below is a relaxed NbHSe2 crystal, with properties calculated at the GGA-PBE level.

Cell lengths 5.962, 3.442, 7.362 Å; angles 90.00, 105.31, 90.00 degrees
Space group Cm (No. 8)
Symmetry-distinct sites (fractional):
1 Nb 0.000 0.000 0.000 [2 per cell]
2 H 0.333 0.000 0.000 [2 per cell]
3 Se 0.085 0.500 0.750 [2 per cell]
4 Se 0.248 0.500 0.249 [2 per cell]

Offset from the most stable computed form   0.000 eV/atom



Entry 2:
Below is a relaxed AgPPt crystal, with properties calculated at the GGA-PBE level.

Cell lengths 3.2200, 3.2200, 5.9523 Å; angles 90.00, 90.00, 120.00 degrees
Space group P3m1 (No. 156)
Symmetry-distinct sites (fractional):
1 Ag 0.0000 0.0000 0.0000 [1 per cell]
2 P 0.6667 0.3333 0.3969 [1 per cell]
3 Pt 0.3333 0.6667 0.6294 [1 per cell]

Energy relative to the elements   -83 meV per atom
Offset from the most stable computed form   0.082 eV/atom



Entry 3:
Below is a relaxed Ni2TeOs crystal, with properties calculated at the GGA-PBE level.

Cell lengths 3.0105, 3.0105, 23.2709 Å; angles 90.00, 90.00, 120.00 degrees
Space group R3m (No. 160, hexagonal axes)
Symmetry-distinct sites (fractional):
1 Ni 0.0000 0.0000 0.0000 [3 per cell]
2 Ni 0.0000 0.0000 0.2549 [3 per cell]
3 Te 0.0000 0.0000 0.7493 [3 per cell]
4 Os 0.0000 0.0000 0.5095 [3 per cell]

Final energy   -5.833 eV per atom



Entry 4:
Below is a relaxed Y4Tm3In4 crystal, with properties calculated at the GGA-PBE level.

Cell lengths 3.595, 9.440, 18.716 Å; angles 90.00, 90.00, 90.00 degrees
Space group Immm (No. 71)
Symmetry-distinct sites (fractional):
1 Y 0.000 0.187 0.162 [8 per cell]
2 Tm 0.000 0.000 0.404 [4 per cell]
3 Tm 0.000 0.500 0.500 [2 per cell]
4 In 0.000 0.281 0.000 [4 per cell]
5 In 0.000 0.500 0.230 [4 per cell]

Energy relative to the elements   -304 meV per atom